1.
VASP calculation (PBEsol) on a geometry-optimized TlTcPb2 structure.

The structure in POSCAR format:
```
TlTcPb2
1.0
-0.149 -2.101 4.655
3.871 -2.921 1.610
3.126 1.695 3.669
Tl Tc Pb
1 1 2
direct
0.500 0.500 0.500
0.000 0.000 0.000
0.250 0.250 0.250
0.750 0.750 0.750
```

* polymorph energy (0 for the lowest one): 405 meV per atom
* space-group type: Fm-3m (225)
* calculated volume: 23.583 Å³ per atom

---

2.
VASP calculation (PBEsol) on a geometry-optimized TlTc2Pb structure.

The structure in POSCAR format:
```
TlTc2Pb
1.0
-2.377 0.068 3.264
1.915 -3.241 1.462
3.135 4.232 -0.304
Pb Tc Tl
1 2 1
direct
0.250 0.750 0.500
0.000 0.000 0.000
0.750 0.250 0.500
0.500 0.500 0.000
```

* polymorph energy (0 for the lowest one): 623 meV per atom
* space-group type: I-4m2 (119)
* calculated volume: 18.088 Å³ per atom

---

3.
VASP calculation (PBEsol) on a geometry-optimized TlTc2Pb structure.

The structure in POSCAR format:
```
TlTc2Pb
1.0
3.038 0.000 0.000
0.000 3.038 0.000
0.000 0.000 8.669
Tc Pb Tl
2 1 1
direct
0.000 0.000 0.049
0.500 0.500 0.204
0.500 0.500 0.797
0.000 0.000 0.449
```

* polymorph energy (0 for the lowest one): 0 meV per atom
* space-group type: P4mm (99)
* calculated volume: 20.000 Å³ per atom

---

4.
VASP calculation (PBEsol) on a geometry-optimized TlTc2Pb structure.

The structure in POSCAR format:
```
TlTc2Pb
1.0
-0.193 -0.188 -3.277
-1.449 -4.413 0.338
-4.418 1.464 0.176
Tl Tc Pb
1 2 1
direct
0.500 0.500 0.500
0.000 0.500 0.000
0.000 0.000 0.500
0.500 0.000 0.000
```

* polymorph energy (0 for the lowest one): 502 meV per atom
* space-group type: P4/mmm (123)
* calculated volume: 17.831 Å³ per atom

---

5.
VASP calculation (PBEsol) on a geometry-optimized TlTcPb2 structure.

The structure in POSCAR format:
```
TlTcPb2
1.0
-1.075 0.078 3.135
-2.396 -2.159 -0.768
5.298 -6.558 1.980
Pb Tl Tc
2 1 1
direct
0.000 0.001 0.693
0.000 0.999 0.307
0.500 0.500 0.000
0.500 0.500 0.500
```

* polymorph energy (0 for the lowest one): 0 meV per atom
* space-group type: P2/m (10)
* calculated volume: 23.795 Å³ per atom

---

6.
VASP calculation (PBEsol) on a geometry-optimized TlTcPb2 structure.

The structure in POSCAR format:
```
TlTcPb2
1.0
3.612 0.000 0.000
0.000 4.739 0.000
-1.806 0.000 5.341
Tc Pb Tl
1 2 1
direct
0.818 0.000 0.637
0.093 0.000 0.185
0.402 0.500 0.803
0.675 0.500 0.351
```

* polymorph energy (0 for the lowest one): 211 meV per atom
* space-group type: Amm2 (38)
* calculated volume: 22.856 Å³ per atom